Record 1
! TaCIO2 | Alexandria via LeMat-Bulk | PBE-GGA | optimized geometry; values from VASP
&SYSTEM
  ibrav = 0, nat = 5, ntyp = 4
/
ATOMIC_SPECIES
Ta 180.95 Ta.upf
I 126.90 I.upf
O 16.00 O.upf
C 12.01 C.upf
CELL_PARAMETERS angstrom
3.959 0.000 0.000
0.000 3.959 0.000
0.000 0.000 4.232
ATOMIC_POSITIONS crystal
Ta 0.500 0.500 0.500
I 0.000 0.000 0.500
O 0.000 0.500 0.000
O 0.500 0.000 0.000
C 0.000 0.000 0.000
! E_form (uncorrected)   1.422 eV/atom
! Raw total energy   -5.086 eV/atom
! DOS at the Fermi energy   4.466 states/eV/cell
! Space group   P4/mmm, No. 123
! E above lowest polymorph   1942 meV per atom
! Magnetization   0.0 μB per cell
! Calculated volume   13.27 A^3/atom

***

Record 2
! KU3O7 | Alexandria via LeMat-Bulk | PBE-GGA | optimized geometry; values from VASP
&SYSTEM
  ibrav = 0, nat = 11, ntyp = 3
/
ATOMIC_SPECIES
O 16.00 O.upf
U 238.03 U.upf
K 39.10 K.upf
CELL_PARAMETERS angstrom
4.197 0.000 0.000
0.000 6.341 -3.973
0.000 -0.413 7.471
ATOMIC_POSITIONS crystal
O 0.000 0.076 0.347
O 0.500 0.000 0.000
O 0.000 0.653 0.924
O 0.000 0.347 0.076
O 0.500 0.286 0.714
O 0.500 0.714 0.286
O 0.000 0.924 0.653
U 0.000 0.736 0.264
U 0.000 0.264 0.736
U 0.000 0.000 0.000
K 0.000 0.500 0.500
! E_form (uncorrected)   -2.818 eV/atom
! Raw total energy   -9.152 eV/atom
! DOS at the Fermi energy   6.609 states/eV/cell
! Space group   Cmmm, No. 65
! Magnetization   5.0 μB per cell
! Calculated volume   17.45 A^3/atom

***

Record 3
! MgVNCl2 | Alexandria via LeMat-Bulk | PBE-GGA | optimized geometry; values from VASP
&SYSTEM
  ibrav = 0, nat = 5, ntyp = 4
/
ATOMIC_SPECIES
Mg 24.30 Mg.upf
N 14.01 N.upf
V 50.94 V.upf
Cl 35.45 Cl.upf
CELL_PARAMETERS angstrom
5.064 0.000 0.000
0.000 3.770 0.000
0.000 0.000 5.064
ATOMIC_POSITIONS crystal
Mg 0.000 0.500 0.000
N 0.000 0.000 0.000
V 0.500 0.500 0.500
Cl 0.500 0.000 0.000
Cl 0.000 0.000 0.500
! E_form (uncorrected)   0.821 eV/atom
! Raw total energy   -3.726 eV/atom
! DOS at the Fermi energy   6.952 states/eV/cell
! Space group   P4/mmm, No. 123
! E above lowest polymorph   1295 meV per atom
! Magnetization   0.8 μB per cell
! Calculated volume   19.34 A^3/atom